UAl2CdO8: relaxed, PBE-GGA.

Values from the calculation:
raw formation energy	-2.261	eV/atom
E_tot	-7.21	eV/atom

Cell lengths 4.792, 6.430, 4.800 Å; angles 90.00, 92.23, 90.00 degrees
Sites, in units of the cell vectors:
U 0.000 0.000 0.000
Al 0.500 0.220 0.500
Al 0.500 0.780 0.500
Cd 0.000 0.500 0.000
O 0.214 0.231 0.213
O 0.214 0.769 0.213
O 0.316 0.000 0.683
O 0.385 0.500 0.613
O 0.615 0.500 0.387
O 0.684 0.000 0.317
O 0.786 0.231 0.787
O 0.786 0.769 0.787